! KSrIO2 (PBE, relaxed); values from VASP
! V   160.47 Å³ per cell
! Offset from the most stable computed form   0.0 meV per atom
! Magnetization   0.9 μB per formula unit
! Energy   -3.865 eV per atom
! Energy relative to the elements, uncorrected   -98 kJ per mole of atoms
&SYSTEM
  ibrav = 0, nat = 5, ntyp = 4
/
ATOMIC_SPECIES
I 126.90 I.upf
Sr 87.62 Sr.upf
K 39.10 K.upf
O 16.00 O.upf
CELL_PARAMETERS angstrom
4.890 0.000 0.000
0.000 4.890 0.000
0.000 0.000 6.711
ATOMIC_POSITIONS angstrom
I 0.000 0.000 3.356
Sr 0.000 0.000 0.000
K 2.445 2.445 3.356
O 0.000 2.445 0.000
O 2.445 0.000 0.000